Zn3WS, optimized geometry, DFT GGA-PBE; energy relative to the elements, uncorrected = 1.41 eV per atom; space group = Pm-3m, No. 221; total DFT energy (no corrections) = -2.773 eV per atom; density of states at the Fermi level = 8.3 states/eV/f.u.; total magnetic moment = 2.2 μB/cell; polymorph energy (0 for the lowest one) = 183 meV/atom
1.0
4.9990 0.0000 0.0000
0.0000 4.9990 0.0000
0.0000 0.0000 4.9990
Zn W S
3 1 1
Direct
0.0000 0.0000 0.5000
0.0000 0.5000 0.0000
0.5000 0.0000 0.0000
0.0000 0.0000 0.0000
0.5000 0.5000 0.5000

---

Zn3WS, optimized geometry, DFT GGA-PBE; energy relative to the elements, uncorrected = 1.22 eV per atom; space group = Pm-3m, No. 221; total DFT energy (no corrections) = -2.956 eV per atom; density of states at the Fermi level = 2.5 states/eV/f.u.; total magnetic moment = 2.5 μB/cell; polymorph energy (0 for the lowest one) = 0 meV/atom
1.0
4.5628 0.0000 0.0000
0.0000 4.5628 0.0000
0.0000 0.0000 4.5628
Zn W S
3 1 1
Direct
0.0000 0.0000 0.5000
0.0000 0.5000 0.0000
0.5000 0.0000 0.0000
0.5000 0.5000 0.5000
0.0000 0.0000 0.0000

---

ZnW2S, optimized geometry, DFT GGA-PBE; energy relative to the elements, uncorrected = 0.59 eV per atom; space group = Fm-3m, No. 225; total DFT energy (no corrections) = -7.241 eV per atom; density of states at the Fermi level = 3.1 states/eV/f.u.; total magnetic moment = 0.0 μB/cell
1.0
0.0000 3.0610 3.0610
3.0610 0.0000 3.0610
3.0610 3.0610 0.0000
Zn W S
1 2 1
Direct
0.0000 0.0000 0.0000
0.2500 0.2500 0.2500
0.7500 0.7500 0.7500
0.5000 0.5000 0.5000